[1]
# K3AlI6

A relaxed K3AlI6 crystal (PBE, Alexandria).

Output
* E above lowest polymorph: 0.378 eV per formula unit
* Fermi-level density of states: 0.0 states/eV/f.u.
* spin magnetization: 0.0 Bohr magnetons per cell
* calculated volume: 46.47 A^3/atom

Geometry as CIF:
```
data_K3AlI6
_symmetry_space_group_name_H-M 'R -3'
_symmetry_Int_Tables_number 148
_symmetry_space_group_name_Hall '-R 3'
_cell_length_a 13.7922
_cell_length_b 13.7922
_cell_length_c 16.9234
_cell_angle_alpha 90.00
_cell_angle_beta 90.00
_cell_angle_gamma 120.00
loop_
_atom_site_label
_atom_site_type_symbol
_atom_site_fract_x
_atom_site_fract_y
_atom_site_fract_z
_atom_site_occupancy
K1 K 0.0557 0.7846 0.2051 1
Al1 Al 0.0000 0.0000 0.0000 1
Al2 Al 0.0000 0.0000 0.5000 1
I1 I 0.0092 0.8378 0.4049 1
I2 I 0.0385 0.8567 0.9043 1
```

=====

[2]
# K2AlI

A relaxed K2AlI crystal (PBE, Alexandria).

Output
* E above lowest polymorph: 0.141 eV per formula unit
* Fermi-level density of states: 5.7 states/eV/f.u.
* spin magnetization: 8.0 Bohr magnetons per cell
* calculated volume: 41.20 A^3/atom

Geometry as CIF:
```
data_K2AlI
_symmetry_space_group_name_H-M 'F m -3 m'
_symmetry_Int_Tables_number 225
_symmetry_space_group_name_Hall '-F 4 2 3'
_cell_length_a 8.703
_cell_length_b 8.703
_cell_length_c 8.703
_cell_angle_alpha 90.00
_cell_angle_beta 90.00
_cell_angle_gamma 90.00
loop_
_atom_site_label
_atom_site_type_symbol
_atom_site_fract_x
_atom_site_fract_y
_atom_site_fract_z
_atom_site_occupancy
K1 K 0.250 0.250 0.250 1
Al1 Al 0.000 0.000 0.000 1
I1 I 0.000 0.000 0.500 1
```

=====

[3]
# KAlI4

A relaxed KAlI4 crystal (PBE, Alexandria).

Output
* Fermi-level density of states: 0.0 states/eV/f.u.
* spin magnetization: 0.0 Bohr magnetons per cell
* raw total energy: -2.8072 eV/atom
* calculated volume: 51.90 A^3/atom

Geometry as CIF:
```
data_KAlI4
_symmetry_space_group_name_H-M 'I -4'
_symmetry_Int_Tables_number 82
_cell_length_a 8.814
_cell_length_b 8.814
_cell_length_c 8.017
_cell_angle_alpha 90.00
_cell_angle_beta 90.00
_cell_angle_gamma 90.00
loop_
_symmetry_equiv_pos_as_xyz
'x,y,z'
'y,-x,-z'
'-x,-y,z'
'-y,x,-z'
'x+1/2,y+1/2,z+1/2'
'y+1/2,-x+1/2,-z+1/2'
'-x+1/2,-y+1/2,z+1/2'
'-y+1/2,x+1/2,-z+1/2'
loop_
_atom_site_label
_atom_site_type_symbol
_atom_site_fract_x
_atom_site_fract_y
_atom_site_fract_z
_atom_site_occupancy
K1 K 0.000 0.000 0.000 1
Al1 Al 0.000 0.500 0.750 1
I1 I 0.145 0.693 0.570 1
```

=====

[4]
# K3AlI6

A relaxed K3AlI6 crystal (PBE, Alexandria).

Output
* E above lowest polymorph: 0.000 eV per formula unit
* Fermi-level density of states: 0.0 states/eV/f.u.
* spin magnetization: 0.0 Bohr magnetons per cell
* calculated volume: 56.04 A^3/atom

Geometry as CIF:
```
data_K3AlI6
_symmetry_space_group_name_H-M 'C m c 21'
_symmetry_Int_Tables_number 36
_cell_length_a 14.329
_cell_length_b 17.618
_cell_length_c 8.879
_cell_angle_alpha 90.00
_cell_angle_beta 90.00
_cell_angle_gamma 90.00
loop_
_symmetry_equiv_pos_as_xyz
'x,y,z'
'-x,-y,z+1/2'
'-x,y,z'
'x,-y,z+1/2'
'x+1/2,y+1/2,z'
'-x+1/2,-y+1/2,z+1/2'
'-x+1/2,y+1/2,z'
'x+1/2,-y+1/2,z+1/2'
loop_
_atom_site_label
_atom_site_type_symbol
_atom_site_fract_x
_atom_site_fract_y
_atom_site_fract_z
_atom_site_occupancy
K1 K 0.000 0.058 0.000 1
K2 K 0.226 0.394 0.911 1
Al1 Al 0.000 0.302 0.227 1
I1 I 0.000 0.309 0.512 1
I2 I 0.000 0.433 0.100 1
I3 I 0.144 0.228 0.128 1
I4 I 0.168 0.036 0.721 1
```

=====

[5]
# K3AlI

A relaxed K3AlI crystal (PBE, Alexandria).

Output
* E above lowest polymorph: 0.000 eV per formula unit
* Fermi-level density of states: 4.4 states/eV/f.u.
* spin magnetization: 0.6 Bohr magnetons per cell
* calculated volume: 57.94 A^3/atom

Geometry as CIF:
```
data_K3AlI
_symmetry_space_group_name_H-M 'P m -3 m'
_symmetry_Int_Tables_number 221
_symmetry_space_group_name_Hall '-P 4 2 3'
_cell_length_a 6.617
_cell_length_b 6.617
_cell_length_c 6.617
_cell_angle_alpha 90.00
_cell_angle_beta 90.00
_cell_angle_gamma 90.00
loop_
_atom_site_label
_atom_site_type_symbol
_atom_site_fract_x
_atom_site_fract_y
_atom_site_fract_z
_atom_site_occupancy
K1 K 0.000 0.000 0.500 1
Al1 Al 0.500 0.500 0.500 1
I1 I 0.000 0.000 0.000 1
```

=====

[6]
# K3AlI6

A relaxed K3AlI6 crystal (PBE, Alexandria).

Output
* E above lowest polymorph: 1.015 eV per formula unit
* Fermi-level density of states: 0.0 states/eV/f.u.
* spin magnetization: 0.0 Bohr magnetons per cell
* calculated volume: 45.47 A^3/atom

Geometry as CIF:
```
data_K3AlI6
_symmetry_space_group_name_H-M 'F m -3 m'
_symmetry_Int_Tables_number 225
_symmetry_space_group_name_Hall '-F 4 2 3'
_cell_length_a 12.207
_cell_length_b 12.207
_cell_length_c 12.207
_cell_angle_alpha 90.00
_cell_angle_beta 90.00
_cell_angle_gamma 90.00
loop_
_atom_site_label
_atom_site_type_symbol
_atom_site_fract_x
_atom_site_fract_y
_atom_site_fract_z
_atom_site_occupancy
K1 K 0.000 0.000 0.000 1
K2 K 0.250 0.250 0.250 1
Al1 Al 0.000 0.000 0.500 1
I1 I 0.000 0.000 0.273 1
```

=====

[7]
# KAl3I

A relaxed KAl3I crystal (PBE, Alexandria).

Output
* E above lowest polymorph: 0.000 eV per formula unit
* Fermi-level density of states: 2.9 states/eV/f.u.
* spin magnetization: 0.0 Bohr magnetons per cell
* calculated volume: 42.97 A^3/atom

Geometry as CIF:
```
data_KAl3I
_symmetry_space_group_name_H-M 'P m -3 m'
_symmetry_Int_Tables_number 221
_symmetry_space_group_name_Hall '-P 4 2 3'
_cell_length_a 5.989
_cell_length_b 5.989
_cell_length_c 5.989
_cell_angle_alpha 90.00
_cell_angle_beta 90.00
_cell_angle_gamma 90.00
loop_
_atom_site_label
_atom_site_type_symbol
_atom_site_fract_x
_atom_site_fract_y
_atom_site_fract_z
_atom_site_occupancy
K1 K 0.000 0.000 0.000 1
Al1 Al 0.000 0.500 0.500 1
I1 I 0.500 0.500 0.500 1
```

=====

[8]
# K2AlI

A relaxed K2AlI crystal (PBE, Alexandria).

Output
* E above lowest polymorph: 0.000 eV per formula unit
* Fermi-level density of states: 0.2 states/eV/f.u.
* spin magnetization: 0.0 Bohr magnetons per cell
* calculated volume: 44.42 A^3/atom

Geometry as CIF:
```
data_K2AlI
_symmetry_space_group_name_H-M 'I -4 2 d'
_symmetry_Int_Tables_number 122
_symmetry_space_group_name_Hall 'I -4 2bw'
_cell_length_a 9.572
_cell_length_b 9.572
_cell_length_c 7.756
_cell_angle_alpha 90.00
_cell_angle_beta 90.00
_cell_angle_gamma 90.00
loop_
_atom_site_label
_atom_site_type_symbol
_atom_site_fract_x
_atom_site_fract_y
_atom_site_fract_z
_atom_site_occupancy
K1 K 0.235 0.250 0.125 1
Al1 Al 0.000 0.000 0.500 1
I1 I 0.000 0.000 0.000 1
```

=====

[9]
# K3Al5I12

A relaxed K3Al5I12 crystal (PBE, Alexandria).

Output
* Fermi-level density of states: 3.1 states/eV/f.u.
* spin magnetization: 0.0 Bohr magnetons per cell
* raw total energy: -2.6746 eV/atom
* calculated volume: 45.24 A^3/atom

Geometry as CIF:
```
data_K3Al5I12
_symmetry_space_group_name_H-M 'I a -3 d'
_symmetry_Int_Tables_number 230
_symmetry_space_group_name_Hall '-I 4bd 2c 3'
_cell_length_a 19.344
_cell_length_b 19.344
_cell_length_c 19.344
_cell_angle_alpha 90.00
_cell_angle_beta 90.00
_cell_angle_gamma 90.00
loop_
_atom_site_label
_atom_site_type_symbol
_atom_site_fract_x
_atom_site_fract_y
_atom_site_fract_z
_atom_site_occupancy
K1 K 0.000 0.250 0.125 1
Al1 Al 0.000 0.000 0.000 1
Al2 Al 0.000 0.250 0.375 1
I1 I 0.038 0.048 0.652 1
```